Below is a geometry-optimized Lu2HfIn structure, with properties calculated at the GGA-PBE level.

Computed properties:
* VASP energy: -22.274 eV/cell
* space-group type: P4/mmm (123)
* total moment: 0.0 μB per formula unit
* calculated formation energy: -0.135 eV/atom

a = 4.6188 Å, b = 4.6188 Å, c = 4.6147 Å
α = 90.00°, β = 90.00°, γ = 90.00°
Atoms (fractional coordinates):
1 Lu 0.0000 0.5000 0.0000
2 Lu 0.5000 0.0000 0.0000
3 Hf 0.0000 0.0000 0.5000
4 In 0.5000 0.5000 0.5000